No. 1
The following is a DFT calculation (GGA-PBEsol) of a geometry-optimized RbLaMnWO6 structure.

## Properties
Formation energy without anion corrections: -2368 meV/atom
Density of states at the Fermi level: 0.017 states/eV per atom
Calculated volume: 12.97 A^3/atom

Structure (extended XYZ):
```
20
Lattice="5.6584 0.0000 0.0000 0.0000 5.6427 0.0000 -0.0549 0.0000 8.1221" Properties=species:S:1:pos:R:3 pbc="T T T"
Rb 1.3504 0.0000 4.0560
Rb 4.2531 2.8213 4.0661
La 1.3132 0.1519 8.1149
La 4.2904 2.9732 0.0073
Mn 1.4299 2.8806 2.0740
Mn 4.1736 0.0592 6.0482
W 1.3493 2.8519 6.1045
W 4.2543 0.0306 2.0176
O 0.0094 1.2846 1.9609
O 0.1329 1.3693 6.1403
O 1.0146 2.7592 8.1100
O 1.5355 2.8353 4.2559
O 2.6454 4.2455 6.5192
O 2.8086 4.3942 1.5972
O 2.7949 1.5728 6.5249
O 2.9582 1.4241 1.6030
O 4.0680 0.0139 3.8662
O 4.5890 5.5805 0.0122
O 5.4706 4.1906 1.9819
O 5.5942 4.1060 6.1613
```

No. 2
The following is a DFT calculation (GGA-PBEsol) of a geometry-optimized InOs2Ru structure.

## Properties
Density of states at the Fermi level: 1.450 states/eV per atom
Energy of formation: 0.671 eV/atom
Calculated volume: 15.38 A^3/atom

Structure (extended XYZ):
```
4
Lattice="2.8053 0.0000 0.0000 0.0000 4.6997 0.0000 -0.1872 0.0000 4.6668" Properties=species:S:1:pos:R:3 pbc="T T T"
In 0.0000 0.0000 0.0000
Os 0.6630 2.3499 3.4662
Os 1.9550 2.3499 1.2006
Ru 1.3090 0.0000 2.3334
```

No. 3
The following is a DFT calculation (GGA-PBEsol) of a geometry-optimized Zn4Cr structure.

## Properties
Density of states at the Fermi level: 0.376 states/eV per atom
Energy of formation: 0.130 eV/atom
Calculated volume: 13.85 A^3/atom

Structure (extended XYZ):
```
5
Lattice="-2.9780 2.9780 1.9523 2.9780 -2.9780 1.9523 2.9780 2.9780 -1.9523" Properties=species:S:1:pos:R:3 pbc="T T T"
Zn 1.7717 0.5477 0.0000
Zn 2.4303 -1.2062 1.9523
Zn 0.5477 4.1842 0.0000
Zn 1.2062 2.4303 1.9523
Cr 0.0000 0.0000 1.9523
```